Record 1
VASP calculation (PBE-GGA) on a geometry-optimized NdGdErSc structure.

The structure in POSCAR format:
```
NdGdErSc
1.0
0.0000 3.9430 3.9430
3.9430 0.0000 3.9430
3.9430 3.9430 0.0000
Nd Gd Er Sc
1 1 1 1
Cartesian
0.0000 0.0000 0.0000 Nd
3.9430 3.9430 3.9430 Gd
5.9145 5.9145 5.9145 Er
1.9715 1.9715 1.9715 Sc
```

## Properties
Spin magnetization, μB/atom: 1.830
Formation energy, eV/atom: 0.094
Symmetry: F-43m, No. 216

***

Record 2
VASP calculation (PBE-GGA) on a geometry-optimized NdSmGdEr structure.

The structure in POSCAR format:
```
NdSmGdEr
1.0
0.0000 4.0542 4.0542
4.0542 0.0000 4.0542
4.0542 4.0542 0.0000
Nd Sm Gd Er
1 1 1 1
Cartesian
0.0000 0.0000 0.0000 Nd
2.0271 2.0271 2.0271 Sm
4.0542 4.0542 4.0542 Gd
6.0812 6.0812 6.0812 Er
```

## Properties
Spin magnetization, μB/atom: 2.151
Formation energy, eV/atom: 0.120
Symmetry: F-43m, No. 216

***

Record 3
VASP calculation (PBE-GGA) on a geometry-optimized NdGdErSn structure.

The structure in POSCAR format:
```
NdGdErSn
1.0
0.0000 3.8726 3.8726
3.8726 0.0000 3.8726
3.8726 3.8726 0.0000
Nd Gd Er Sn
1 1 1 1
Cartesian
0.0000 0.0000 0.0000 Nd
3.8726 3.8726 3.8726 Gd
1.9363 1.9363 1.9363 Er
5.8090 5.8090 5.8090 Sn
```

## Properties
Spin magnetization, μB/atom: 1.962
Formation energy, eV/atom: -0.266
Symmetry: F-43m, No. 216

***

Copy entry 3 word for word.
VASP calculation (PBE-GGA) on a geometry-optimized NdGdErSn structure.

The structure in POSCAR format:
```
NdGdErSn
1.0
0.0000 3.8726 3.8726
3.8726 0.0000 3.8726
3.8726 3.8726 0.0000
Nd Gd Er Sn
1 1 1 1
Cartesian
0.0000 0.0000 0.0000 Nd
3.8726 3.8726 3.8726 Gd
1.9363 1.9363 1.9363 Er
5.8090 5.8090 5.8090 Sn
```

## Properties
Spin magnetization, μB/atom: 1.962
Formation energy, eV/atom: -0.266
Symmetry: F-43m, No. 216